! Ba2CaLa2 (GGA-PBE, relaxed); values from VASP
! Energy relative to the lowest polymorph listed for this composition: 0 meV per atom
! Formation energy from the elements: 0.252 eV per atom
! Crystal system: tetragonal
! SG: P4/mbm
&SYSTEM
  ibrav = 0, nat = 10, ntyp = 3
/
ATOMIC_SPECIES
Ca 40.08 Ca.upf
Ba 137.33 Ba.upf
La 138.91 La.upf
CELL_PARAMETERS angstrom
-3.385 3.218 9.503
-2.192 -10.024 2.614
3.821 -0.442 1.511
ATOMIC_POSITIONS crystal
Ca 0.500 0.500 0.000
Ca 0.000 0.000 0.000
Ba 0.818 0.318 0.500
Ba 0.318 0.182 0.500
Ba 0.182 0.682 0.500
Ba 0.682 0.818 0.500
La 0.384 0.884 0.000
La 0.884 0.616 0.000
La 0.616 0.116 0.000
La 0.116 0.384 0.000



! BaCaLa2 (GGA-PBE, relaxed); values from VASP
! Energy relative to the lowest polymorph listed for this composition: 64 meV per atom
! Formation energy from the elements: 0.127 eV per atom
! Crystal system: monoclinic
! SG: Cm
&SYSTEM
  ibrav = 0, nat = 4, ntyp = 3
/
ATOMIC_SPECIES
Ca 40.08 Ca.upf
La 138.91 La.upf
Ba 137.33 Ba.upf
CELL_PARAMETERS angstrom
-3.971 -1.450 5.233
-5.595 -3.057 2.147
2.715 -6.163 1.781
ATOMIC_POSITIONS crystal
Ca 0.255 0.255 0.246
La 0.009 0.009 0.979
La 0.740 0.740 0.779
Ba 0.497 0.497 0.497



! BaCaLa2 (GGA-PBE, relaxed); values from VASP
! Energy relative to the lowest polymorph listed for this composition: 143 meV per atom
! Formation energy from the elements: 0.206 eV per atom
! Crystal system: cubic
! SG: Fm-3m
&SYSTEM
  ibrav = 0, nat = 4, ntyp = 3
/
ATOMIC_SPECIES
Ba 137.33 Ba.upf
La 138.91 La.upf
Ca 40.08 Ca.upf
CELL_PARAMETERS angstrom
-5.550 2.319 1.727
-3.752 2.636 -4.259
-5.274 -2.885 -1.737
ATOMIC_POSITIONS crystal
Ba 0.500 0.500 0.500
La 0.250 0.250 0.250
La 0.750 0.750 0.750
Ca 0.000 0.000 0.000



! Ba2CaLa (GGA-PBE, relaxed); values from VASP
! Energy relative to the lowest polymorph listed for this composition: 0 meV per atom
! Formation energy from the elements: 0.101 eV per atom
! Crystal system: tetragonal
! SG: P4mm
&SYSTEM
  ibrav = 0, nat = 4, ntyp = 3
/
ATOMIC_SPECIES
La 138.91 La.upf
Ba 137.33 Ba.upf
Ca 40.08 Ca.upf
CELL_PARAMETERS angstrom
-3.143 1.420 -2.684
1.942 -2.029 -3.348
-5.652 -8.718 2.006
ATOMIC_POSITIONS crystal
La 0.500 0.500 0.719
Ba 0.000 0.000 0.970
Ba 0.500 0.500 0.282
Ca 0.000 0.000 0.529



! Ba2CaLa (GGA-PBE, relaxed); values from VASP
! Energy relative to the lowest polymorph listed for this composition: 50 meV per atom
! Formation energy from the elements: 0.151 eV per atom
! Crystal system: tetragonal
! SG: P4/mmm
&SYSTEM
  ibrav = 0, nat = 4, ntyp = 3
/
ATOMIC_SPECIES
Ba 137.33 Ba.upf
La 138.91 La.upf
Ca 40.08 Ca.upf
CELL_PARAMETERS angstrom
-2.134 6.110 -1.035
-4.638 -0.849 4.552
2.865 1.544 3.207
ATOMIC_POSITIONS crystal
Ba 0.500 0.500 0.000
Ba 0.000 0.000 0.000
La 0.000 0.500 0.500
Ca 0.500 0.000 0.500



! BaCa14La (GGA-PBE, relaxed); values from VASP
! Formation energy from the elements: 0.039 eV per atom
! Crystal system: orthorhombic
! SG: Amm2
&SYSTEM
  ibrav = 0, nat = 16, ntyp = 3
/
ATOMIC_SPECIES
Ca 40.08 Ca.upf
La 138.91 La.upf
Ba 137.33 Ba.upf
CELL_PARAMETERS angstrom
7.827 1.049 0.000
-1.051 7.826 0.000
0.000 0.000 11.036
ATOMIC_POSITIONS crystal
Ca 0.620 0.380 0.745
Ca 0.375 0.125 0.000
Ca 0.875 0.625 0.000
Ca 0.130 0.380 0.745
Ca 0.620 0.870 0.255
Ca 0.375 0.125 0.500
Ca 0.875 0.125 0.500
Ca 0.875 0.625 0.500
Ca 0.620 0.380 0.255
Ca 0.620 0.870 0.745
Ca 0.130 0.870 0.745
Ca 0.130 0.870 0.255
Ca 0.375 0.625 0.500
Ca 0.130 0.380 0.255
La 0.375 0.625 0.000
Ba 0.874 0.126 0.000



! BaCaLa2 (GGA-PBE, relaxed); values from VASP
! Energy relative to the lowest polymorph listed for this composition: 153 meV per atom
! Formation energy from the elements: 0.216 eV per atom
! Crystal system: tetragonal
! SG: P4/mmm
&SYSTEM
  ibrav = 0, nat = 4, ntyp = 3
/
ATOMIC_SPECIES
Ba 137.33 Ba.upf
Ca 40.08 Ca.upf
La 138.91 La.upf
CELL_PARAMETERS angstrom
6.244 0.000 0.000
0.000 6.244 0.000
0.000 0.000 4.419
ATOMIC_POSITIONS crystal
Ba 0.500 0.000 0.500
Ca 0.000 0.500 0.500
La 0.500 0.500 0.000
La 0.000 0.000 0.000



! Ba2CaLa (GGA-PBE, relaxed); values from VASP
! Energy relative to the lowest polymorph listed for this composition: 53 meV per atom
! Formation energy from the elements: 0.154 eV per atom
! Crystal system: orthorhombic
! SG: Pmmm
&SYSTEM
  ibrav = 0, nat = 4, ntyp = 3
/
ATOMIC_SPECIES
Ba 137.33 Ba.upf
Ca 40.08 Ca.upf
La 138.91 La.upf
CELL_PARAMETERS angstrom
4.562 0.000 0.000
0.000 6.549 0.000
0.000 0.000 6.543
ATOMIC_POSITIONS crystal
Ba 0.500 0.500 0.000
Ba 0.000 0.000 0.000
Ca 0.500 0.000 0.500
La 0.000 0.500 0.500



! Ba2CaLa (GGA-PBE, relaxed); values from VASP
! Energy relative to the lowest polymorph listed for this composition: 54 meV per atom
! Formation energy from the elements: 0.154 eV per atom
! Crystal system: cubic
! SG: F-43m
&SYSTEM
  ibrav = 0, nat = 4, ntyp = 3
/
ATOMIC_SPECIES
La 138.91 La.upf
Ba 137.33 Ba.upf
Ca 40.08 Ca.upf
CELL_PARAMETERS angstrom
6.527 0.000 0.000
3.264 5.653 0.000
3.264 1.884 5.329
ATOMIC_POSITIONS crystal
La 0.750 0.750 0.750
Ba 0.000 0.000 0.000
Ba 0.250 0.250 0.250
Ca 0.500 0.500 0.500



! Ba2CaLa (GGA-PBE, relaxed); values from VASP
! Energy relative to the lowest polymorph listed for this composition: 21 meV per atom
! Formation energy from the elements: 0.122 eV per atom
! Crystal system: trigonal
! SG: R3m
&SYSTEM
  ibrav = 0, nat = 4, ntyp = 3
/
ATOMIC_SPECIES
Ba 137.33 Ba.upf
Ca 40.08 Ca.upf
La 138.91 La.upf
CELL_PARAMETERS angstrom
13.784 0.001 0.000
13.180 4.035 0.000
13.180 1.973 3.520
ATOMIC_POSITIONS crystal
Ba 0.246 0.246 0.246
Ba 0.005 0.005 0.005
Ca 0.495 0.495 0.495
La 0.754 0.754 0.754



! BaCaLa2 (GGA-PBE, relaxed); values from VASP
! Energy relative to the lowest polymorph listed for this composition: 100 meV per atom
! Formation energy from the elements: 0.163 eV per atom
! Crystal system: tetragonal
! SG: P4/mmm
&SYSTEM
  ibrav = 0, nat = 4, ntyp = 3
/
ATOMIC_SPECIES
La 138.91 La.upf
Ba 137.33 Ba.upf
Ca 40.08 Ca.upf
CELL_PARAMETERS angstrom
-0.394 -1.845 -3.818
3.533 -2.264 0.730
-5.328 -7.040 3.951
ATOMIC_POSITIONS crystal
La 0.000 0.000 0.960
La 0.000 0.000 0.540
Ba 0.500 0.500 0.250
Ca 0.500 0.500 0.750



! Ba2CaLa (GGA-PBE, relaxed); values from VASP
! Energy relative to the lowest polymorph listed for this composition: 79 meV per atom
! Formation energy from the elements: 0.180 eV per atom
! Crystal system: tetragonal
! SG: I4/mmm
&SYSTEM
  ibrav = 0, nat = 4, ntyp = 3
/
ATOMIC_SPECIES
Ba 137.33 Ba.upf
La 138.91 La.upf
Ca 40.08 Ca.upf
CELL_PARAMETERS angstrom
7.163 0.050 0.000
2.423 6.741 0.000
-4.793 -3.395 4.100
ATOMIC_POSITIONS crystal
Ba 0.500 0.500 0.000
Ba 0.000 0.000 0.000
La 0.250 0.750 0.500
Ca 0.750 0.250 0.500



! Ba2CaLa (GGA-PBE, relaxed); values from VASP
! Energy relative to the lowest polymorph listed for this composition: 76 meV per atom
! Formation energy from the elements: 0.176 eV per atom
! Crystal system: tetragonal
! SG: I-4m2
&SYSTEM
  ibrav = 0, nat = 4, ntyp = 3
/
ATOMIC_SPECIES
Ba 137.33 Ba.upf
La 138.91 La.upf
Ca 40.08 Ca.upf
CELL_PARAMETERS angstrom
-1.099 6.613 2.291
-6.921 1.444 -0.441
3.470 -5.447 2.911
ATOMIC_POSITIONS crystal
Ba 0.250 0.750 0.500
Ba 0.000 0.000 0.000
La 0.750 0.250 0.500
Ca 0.500 0.500 0.000



! Ba2CaLa (GGA-PBE, relaxed); values from VASP
! Energy relative to the lowest polymorph listed for this composition: 39 meV per atom
! Formation energy from the elements: 0.140 eV per atom
! Crystal system: orthorhombic
! SG: Imm2
&SYSTEM
  ibrav = 0, nat = 4, ntyp = 3
/
ATOMIC_SPECIES
La 138.91 La.upf
Ba 137.33 Ba.upf
Ca 40.08 Ca.upf
CELL_PARAMETERS angstrom
7.763 0.020 0.009
3.624 6.865 -0.009
-4.905 -4.746 3.698
ATOMIC_POSITIONS crystal
La 0.260 0.760 0.500
Ba 0.009 0.009 0.000
Ba 0.741 0.241 0.500
Ca 0.489 0.489 0.000



! BaCaLa2Mg (GGA-PBE, relaxed); values from VASP
! Formation energy from the elements: 0.448 eV per atom
! Crystal system: tetragonal
! SG: P4/mmm
&SYSTEM
  ibrav = 0, nat = 5, ntyp = 4
/
ATOMIC_SPECIES
Ca 40.08 Ca.upf
Mg 24.30 Mg.upf
La 138.91 La.upf
Ba 137.33 Ba.upf
CELL_PARAMETERS angstrom
6.115 0.000 0.000
0.000 6.115 0.000
0.000 0.000 6.432
ATOMIC_POSITIONS crystal
Ca 0.500 0.500 0.500
Mg 0.000 0.000 0.000
La 0.000 0.500 0.000
La 0.500 0.000 0.000
Ba 0.000 0.000 0.500



! BaCaLa2N (GGA-PBE, relaxed); values from VASP
! ΔE_f (raw): -0.352 eV/atom
! Crystal system: tetragonal
! SG: P4/mmm
&SYSTEM
  ibrav = 0, nat = 5, ntyp = 4
/
ATOMIC_SPECIES
N 14.01 N.upf
Ca 40.08 Ca.upf
Ba 137.33 Ba.upf
La 138.91 La.upf
CELL_PARAMETERS angstrom
5.140 0.000 0.000
0.000 5.140 0.000
0.000 0.000 6.237
ATOMIC_POSITIONS crystal
N 0.000 0.000 0.000
Ca 0.500 0.500 0.500
Ba 0.000 0.000 0.500
La 0.000 0.500 0.000
La 0.500 0.000 0.000



! BaNa2CaLa (GGA-PBE, relaxed); values from VASP
! Formation energy from the elements: 0.699 eV per atom
! Crystal system: tetragonal
! SG: P4/mmm
&SYSTEM
  ibrav = 0, nat = 5, ntyp = 4
/
ATOMIC_SPECIES
Ca 40.08 Ca.upf
Ba 137.33 Ba.upf
La 138.91 La.upf
Na 22.99 Na.upf
CELL_PARAMETERS angstrom
6.306 0.000 0.000
0.000 6.206 0.000
0.000 0.000 6.306
ATOMIC_POSITIONS crystal
Ca 0.500 0.500 0.500
Ba 0.000 0.500 0.000
La 0.000 0.000 0.000
Na 0.500 0.000 0.000
Na 0.000 0.000 0.500



! BaCaLaNd (GGA-PBE, relaxed); values from VASP
! Formation energy from the elements: 0.177 eV per atom
! Crystal system: cubic
! SG: F-43m
&SYSTEM
  ibrav = 0, nat = 4, ntyp = 4
/
ATOMIC_SPECIES
Ca 40.08 Ca.upf
Nd 144.24 Nd.upf
Ba 137.33 Ba.upf
La 138.91 La.upf
CELL_PARAMETERS angstrom
6.207 0.000 0.000
3.104 5.375 0.000
3.104 1.792 5.068
ATOMIC_POSITIONS crystal
Ca 0.250 0.250 0.250
Nd 0.750 0.750 0.750
Ba 0.500 0.500 0.500
La 0.000 0.000 0.000



! Ba2CaLaNi (GGA-PBE, relaxed); values from VASP
! Formation energy from the elements: 0.040 eV per atom
! Crystal system: tetragonal
! SG: P4/mmm
&SYSTEM
  ibrav = 0, nat = 5, ntyp = 4
/
ATOMIC_SPECIES
Ca 40.08 Ca.upf
Ba 137.33 Ba.upf
Ni 58.69 Ni.upf
La 138.91 La.upf
CELL_PARAMETERS angstrom
-3.254 4.695 2.730
-5.423 -2.640 -1.925
-0.249 -2.864 4.629
ATOMIC_POSITIONS crystal
Ca 0.500 0.500 0.500
Ba 0.000 0.500 0.000
Ba 0.500 0.000 0.000
Ni 0.000 0.000 0.000
La 0.000 0.000 0.500



! BaCaLa2O (GGA-PBE, relaxed); values from VASP
! ΔE_f (raw): -0.992 eV/atom
! Crystal system: tetragonal
! SG: P4/mmm
&SYSTEM
  ibrav = 0, nat = 5, ntyp = 4
/
ATOMIC_SPECIES
O 16.00 O.upf
La 138.91 La.upf
Ba 137.33 Ba.upf
Ca 40.08 Ca.upf
CELL_PARAMETERS angstrom
-1.451 -3.355 3.564
1.206 -3.848 -3.131
5.652 -0.058 2.248
ATOMIC_POSITIONS crystal
O 0.000 0.000 0.000
La 0.000 0.500 0.000
La 0.500 0.000 0.000
Ba 0.000 0.000 0.500
Ca 0.500 0.500 0.500



Per-record total magnetic moment, μB/f.u.: 0.0 0.0 0.0 0.0 0.0 1.0 0.0 0.0 0.0 0.0 0.0 0.7 0.4 0.0 0.5 0.0 0.0 0.0 0.0 0.0